Version A
A plane-wave DFT calculation with PBEsol was carried out for a relaxed structure of CsTe2Se2.

Results
N(E_F)	0.69	states/eV/atom
spin magnetization	0.00	μB/cell
space group	P4/mbm (127)

```
CsTe2Se2
1.0
9.300 0.000 0.000
0.000 9.300 0.000
0.000 0.000 4.356
Cs Te Se
2 4 4
Cartesian
0.000 0.000 0.000
4.650 4.650 0.000
2.197 2.452 2.178
2.452 7.102 2.178
6.847 2.197 2.178
7.102 6.847 2.178
1.411 6.061 0.000
3.239 1.411 0.000
6.061 7.889 0.000
7.889 3.239 0.000
```



Version B
A plane-wave DFT calculation with PBEsol was carried out for a relaxed structure of CsTe2Se2.

Results
N(E_F)	0.26	states/eV/atom
spin magnetization	0.00	μB/cell
space group	I4/mmm (139)

```
CsTe2Se2
1.0
5.593 0.000 0.000
0.000 5.593 0.000
0.000 0.000 12.076
Cs Te Se
2 4 4
Cartesian
0.000 0.000 0.000
2.797 2.797 6.038
0.000 0.000 3.646
0.000 0.000 8.430
2.797 2.797 2.392
2.797 2.797 9.684
0.000 2.797 3.019
0.000 2.797 9.057
2.797 0.000 3.019
2.797 0.000 9.057
```



Least stable structure among those shown: version A.